Entry from the Alexandria database: NaZrTiIr2 after structural relaxation (GGA-PBE).

It has space group P4/mmm (No. 123), with a = 4.828 Å, b = 4.828 Å, c = 4.857 Å, α = 90.00°, β = 90.00° and γ = 90.00°. The inequivalent atoms are Na at (0.000, 0.000, 0.000), Zr at (0.000, 0.000, 0.500), Ti at (0.500, 0.500, 0.000) and Ir at (0.000, 0.500, 0.500).

The value obtained for the energy relative to the elements is 1261 meV/atom. The value obtained for the mass density is 8.0 g cm⁻³.


Entry from the Alexandria database: Ca2SbPb after structural relaxation (GGA-PBE).

It has space group Imm2 (No. 44), with a = 4.242 Å, b = 4.896 Å, c = 11.603 Å, α = 90.00°, β = 90.00° and γ = 90.00°. The inequivalent atoms are Ca at (0.000, 0.000, 0.000), Ca at (0.000, 0.500, 0.239), Sb at (0.000, 0.000, 0.489) and Pb at (0.000, 0.500, 0.769).

As for the total energy: -28.6 eV/cell. The value obtained for the mass density is 5.6 g cm⁻³.


Entry from the Alexandria database: Nd3YEr8 after structural relaxation (GGA-PBE).

It has space group I-42m (No. 121), with a = 8.722 Å, b = 8.722 Å, c = 11.308 Å, α = 90.00°, β = 90.00° and γ = 90.00°. The inequivalent atoms are Nd at (0.000, 0.000, 0.000), Nd at (0.000, 0.500, 0.250), Y at (0.000, 0.000, 0.500), Er at (0.126, 0.126, 0.249) and Er at (0.249, 0.249, 0.999).

The value obtained for the energy relative to the elements is 644 meV/atom. The value obtained for the mass density is 7.2 g cm⁻³.


Entry from the Alexandria database: Nb3V4W2 after structural relaxation (GGA-PBE).

It has space group P-3m1 (No. 164), with a = 4.4643 Å, b = 4.4643 Å, c = 8.1507 Å, α = 90.00°, β = 90.00° and γ = 120.00°. The inequivalent atoms are Nb at (0.0000, 0.0000, 0.0000), Nb at (0.3333, 0.6667, 0.5610), V at (0.0000, 0.0000, 0.3279), V at (0.3333, 0.6667, 0.8911) and W at (0.3333, 0.6667, 0.2151).

The value obtained for the energy relative to the elements is 3 meV/atom. The value obtained for the mass density is 10.0 g cm⁻³.


Entry from the Alexandria database: CeNpPa2 after structural relaxation (GGA-PBE).

It has space group P4/mmm (No. 123), with a = 3.305 Å, b = 3.305 Å, c = 8.882 Å, α = 90.00°, β = 90.00° and γ = 90.00°. The inequivalent atoms are Ce at (0.000, 0.000, 0.000), Np at (0.000, 0.000, 0.500) and Pa at (0.500, 0.500, 0.263).

The value obtained for the energy relative to the elements is 155 meV/atom. The value obtained for the mass density is 14.4 g cm⁻³.


Entry from the Alexandria database: DyGa2Ag after structural relaxation (GGA-PBE).

It has space group P4/mmm (No. 123), with a = 3.396 Å, b = 3.396 Å, c = 6.928 Å, α = 90.00°, β = 90.00° and γ = 90.00°. The inequivalent atoms are Dy at (0.000, 0.000, 0.000), Ga at (0.500, 0.500, 0.284) and Ag at (0.000, 0.000, 0.500).

The value obtained for the energy relative to the elements is -282 meV/atom. The value obtained for the mass density is 8.5 g cm⁻³.


Entry from the Alexandria database: LiSi2Ru after structural relaxation (GGA-PBE).

It has space group C2/m (No. 12), with a = 5.065 Å, b = 7.154 Å, c = 2.828 Å, α = 90.00°, β = 90.20° and γ = 90.00°. The inequivalent atoms are Li at (0.000, 0.000, 0.000), Si at (0.250, 0.250, 0.500) and Ru at (0.000, 0.500, 0.000).

As for the total energy: -45.4 eV/cell. The value obtained for the mass density is 5.3 g cm⁻³.


Entry from the Alexandria database: Cs4Cu3PbBr12 after structural relaxation (GGA-PBE).

It has space group Im-3m (No. 229), with a = 10.883 Å, b = 10.883 Å, c = 10.883 Å, α = 90.00°, β = 90.00° and γ = 90.00°. The inequivalent atoms are Cs at (0.250, 0.250, 0.250), Cu at (0.000, 0.000, 0.500), Pb at (0.000, 0.000, 0.000), Br at (0.000, 0.000, 0.270) and Br at (0.000, 0.250, 0.500).

As for the total energy: -117.5 eV/cell. The value obtained for the mass density is 4.9 g cm⁻³.


Entry from the Alexandria database: AlSiNF2 after structural relaxation (GGA-PBE).

It has space group P4/mmm (No. 123), with a = 3.685 Å, b = 3.685 Å, c = 3.998 Å, α = 90.00°, β = 90.00° and γ = 90.00°. The inequivalent atoms are Al at (0.000, 0.000, 0.000), Si at (0.500, 0.500, 0.500), N at (0.000, 0.000, 0.500) and F at (0.000, 0.500, 0.000).

As for the total energy: -27.3 eV/cell. The value obtained for the mass density is 3.3 g cm⁻³.


Entry from the Alexandria database: SrAcEu after structural relaxation (GGA-PBE).

It has space group I4mm (No. 107), with a = 4.024 Å, b = 4.024 Å, c = 17.237 Å, α = 90.00°, β = 90.00° and γ = 90.00°. The inequivalent atoms are Sr at (0.000, 0.000, 0.000), Ac at (0.000, 0.000, 0.328) and Eu at (0.000, 0.000, 0.673).

The value obtained for the energy relative to the elements is 40 meV/atom. The value obtained for the mass density is 5.6 g cm⁻³.


Entry from the Alexandria database: MgAs2PbO6 after structural relaxation (GGA-PBE).

It has space group C2/c (No. 15), with a = 11.554 Å, b = 8.955 Å, c = 7.165 Å, α = 90.00°, β = 123.39° and γ = 90.00°. The inequivalent atoms are Mg at (0.000, 0.206, 0.250), As at (0.206, 0.458, 0.673), Pb at (0.000, 0.202, 0.750), O at (0.109, 0.296, 0.547), O at (0.120, 0.090, 0.186) and O at (0.175, 0.435, 0.932).

As for the total energy: -234.7 eV/cell. The value obtained for the mass density is 5.1 g cm⁻³.


Entry from the Alexandria database: LaErGeO5 after structural relaxation (GGA-PBE).

It has space group C2/c (No. 15), with a = 7.075 Å, b = 9.589 Å, c = 7.596 Å, α = 90.00°, β = 111.49° and γ = 90.00°. The inequivalent atoms are La at (0.000, 0.169, 0.250), Er at (0.000, 0.500, 0.000), Ge at (0.000, 0.176, 0.750), O at (0.000, 0.397, 0.250), O at (0.117, 0.285, 0.628) and O at (0.167, 0.060, 0.920).

As for the total energy: -248.1 eV/cell. The value obtained for the mass density is 6.4 g cm⁻³.


Entry from the Alexandria database: Ti4Mo3Pd after structural relaxation (GGA-PBE).

It has space group Pmmm (No. 47), with a = 3.170 Å, b = 4.539 Å, c = 8.773 Å, α = 90.00°, β = 90.00° and γ = 90.00°. The inequivalent atoms are Ti at (0.000, 0.000, 0.000), Ti at (0.000, 0.000, 0.500), Ti at (0.000, 0.500, 0.245), Mo at (0.500, 0.000, 0.252), Mo at (0.500, 0.500, 0.000) and Pd at (0.500, 0.500, 0.500).

The value obtained for the energy relative to the elements is -245 meV/atom. The value obtained for the mass density is 7.7 g cm⁻³.


Entry from the Alexandria database: K2TlHg3 after structural relaxation (GGA-PBE).

It has space group Cm (No. 8), with a = 12.108 Å, b = 5.397 Å, c = 8.234 Å, α = 90.00°, β = 130.72° and γ = 90.00°. The inequivalent atoms are K at (0.000, 0.000, 0.000), K at (0.109, 0.000, 0.614), Tl at (0.221, 0.500, 0.407), Hg at (0.213, 0.500, 0.017), Hg at (0.388, 0.000, 0.197) and Hg at (0.391, 0.000, 0.583).

The value obtained for the energy relative to the elements is -232 meV/atom. The value obtained for the mass density is 7.2 g cm⁻³.


Entry from the Alexandria database: Ac2InPt2 after structural relaxation (GGA-PBE).

It has space group P4/mbm (No. 127), with a = 8.142 Å, b = 8.142 Å, c = 4.101 Å, α = 90.00°, β = 90.00° and γ = 90.00°. The inequivalent atoms are Ac at (0.173, 0.327, 0.000), In at (0.000, 0.000, 0.500) and Pt at (0.130, 0.630, 0.500).

The value obtained for the energy relative to the elements is -1013 meV/atom. The value obtained for the mass density is 11.7 g cm⁻³.


Entry from the Alexandria database: CeSiRh3 after structural relaxation (GGA-PBE).

It has space group I-4m2 (No. 119), with a = 5.081 Å, b = 5.081 Å, c = 15.747 Å, α = 90.00°, β = 90.00° and γ = 90.00°. The inequivalent atoms are Ce at (0.000, 0.000, 0.127), Si at (0.000, 0.000, 0.500), Si at (0.000, 0.500, 0.750), Rh at (0.000, 0.246, 0.628) and Rh at (0.000, 0.500, 0.031).

As for the total energy: -141.8 eV/cell. The value obtained for the mass density is 7.8 g cm⁻³.


Entry from the Alexandria database: SnSCl2F after structural relaxation (GGA-PBE).

It has space group P4/mmm (No. 123), with a = 5.438 Å, b = 5.438 Å, c = 3.713 Å, α = 90.00°, β = 90.00° and γ = 90.00°. The inequivalent atoms are Sn at (0.000, 0.000, 0.000), S at (0.500, 0.500, 0.000), Cl at (0.000, 0.500, 0.500) and F at (0.500, 0.500, 0.500).

As for the total energy: -14.4 eV/cell. The value obtained for the mass density is 3.6 g cm⁻³.


Entry from the Alexandria database: NaTe3P after structural relaxation (GGA-PBE).

It has space group Pm-3m (No. 221), with a = 5.344 Å, b = 5.344 Å, c = 5.344 Å, α = 90.00°, β = 90.00° and γ = 90.00°. The inequivalent atoms are Na at (0.000, 0.000, 0.000), Te at (0.000, 0.500, 0.500) and P at (0.500, 0.500, 0.500).

As for the total energy: -15.9 eV/cell. The value obtained for the mass density is 4.8 g cm⁻³.


Entry from the Alexandria database: KSnB2 after structural relaxation (GGA-PBE).

It has space group I4_1/amd (No. 141, origin choice 2), with a = 4.762 Å, b = 4.762 Å, c = 15.268 Å, α = 90.00°, β = 90.00° and γ = 90.00°. The inequivalent atoms are K at (0.000, 0.250, 0.375), Sn at (0.000, 0.250, 0.875) and B at (0.000, 0.000, 0.000).

The value obtained for the energy relative to the elements is 1106 meV/atom. The value obtained for the mass density is 3.4 g cm⁻³.


Entry from the Alexandria database: SbAu2 after structural relaxation (GGA-PBE).

It has space group I4_1/amd (No. 141, origin choice 2), with a = 3.654 Å, b = 3.654 Å, c = 20.122 Å, α = 90.00°, β = 90.00° and γ = 90.00°. The inequivalent atoms are Sb at (0.000, 0.250, 0.375) and Au at (0.000, 0.250, 0.802).

As for the total energy: -41.4 eV/cell. The value obtained for the mass density is 12.8 g cm⁻³.


Entry from the Alexandria database: Sc2TcAs after structural relaxation (GGA-PBE).

It has space group P4/mmm (No. 123), with a = 4.455 Å, b = 4.455 Å, c = 3.534 Å, α = 90.00°, β = 90.00° and γ = 90.00°. The inequivalent atoms are Sc at (0.000, 0.500, 0.000), Tc at (0.000, 0.000, 0.500) and As at (0.500, 0.500, 0.500).

The value obtained for the energy relative to the elements is -610 meV/atom. The value obtained for the mass density is 6.2 g cm⁻³.


Entry from the Alexandria database: SnAsRu3 after structural relaxation (GGA-PBE).

It has space group Pm-3m (No. 221), with a = 4.896 Å, b = 4.896 Å, c = 4.896 Å, α = 90.00°, β = 90.00° and γ = 90.00°. The inequivalent atoms are Sn at (0.000, 0.000, 0.000), As at (0.500, 0.500, 0.500) and Ru at (0.000, 0.000, 0.500).

The value obtained for the energy relative to the elements is 1862 meV/atom. The value obtained for the mass density is 7.0 g cm⁻³.


Entry from the Alexandria database: CaZr2VSe after structural relaxation (GGA-PBE).

It has space group P4/mmm (No. 123), with a = 4.740 Å, b = 4.740 Å, c = 5.919 Å, α = 90.00°, β = 90.00° and γ = 90.00°. The inequivalent atoms are Ca at (0.000, 0.000, 0.000), Zr at (0.000, 0.500, 0.500), V at (0.000, 0.000, 0.500) and Se at (0.500, 0.500, 0.000).

As for the total energy: -29.5 eV/cell. The value obtained for the mass density is 4.4 g cm⁻³.


Entry from the Alexandria database: Cr2TcBr after structural relaxation (GGA-PBE).

It has space group P4/mmm (No. 123), with a = 2.940 Å, b = 2.940 Å, c = 6.553 Å, α = 90.00°, β = 90.00° and γ = 90.00°. The inequivalent atoms are Cr at (0.000, 0.000, 0.235), Tc at (0.500, 0.500, 0.000) and Br at (0.500, 0.500, 0.500).

As for the total energy: -29.1 eV/cell. The value obtained for the mass density is 8.3 g cm⁻³.


Entry from the Alexandria database: HoCuHgPb after structural relaxation (GGA-PBE).

It has space group F-43m (No. 216), with a = 7.169 Å, b = 7.169 Å, c = 7.169 Å, α = 90.00°, β = 90.00° and γ = 90.00°. The inequivalent atoms are Ho at (0.000, 0.000, 0.000), Cu at (0.250, 0.250, 0.250), Hg at (0.250, 0.250, 0.750) and Pb at (0.000, 0.000, 0.500).

The value obtained for the energy relative to the elements is -131 meV/atom. The value obtained for the mass density is 11.5 g cm⁻³.